(1)
The following is a GGA-PBE calculation of a relaxed structure of AlZn2Br, from Alexandria via LeMat-Bulk.

a b c (Å): 4.0407 4.0407 10.9769
angles (deg): 90.00 90.00 90.00
Last column: nearest neighbours and their distance in Å.
Space group I4/mmm (No. 139)
Unique sites:
Al1 0.0000 0.0000 0.0000 (multiplicity 2)  4 Br 2.86
Zn1 0.0000 0.5000 0.2500 (multiplicity 4)  4 Zn 2.86
Br1 0.0000 0.0000 0.5000 (multiplicity 2)  4 Al 2.86

Output
Offset from the most stable computed form   0.384 eV/atom
E_form (uncorrected)   190 meV per atom
Electronic total energy   -1.80 eV/atom
Total moment   0.00 μB/atom
Volume   22.4 Å³/atom

(2)
The following is a GGA-PBE calculation of a relaxed structure of Sr3Tl2Pb4, from Alexandria via LeMat-Bulk.

a b c (Å): 12.5961 5.1952 10.0651
angles (deg): 90.00 108.61 90.00
Last column: nearest neighbours and their distance in Å.
Space group C2/m (No. 12)
Unique sites:
Sr1 0.0000 0.0000 0.0000 (multiplicity 2)  6 Pb 3.50-3.61
Sr2 0.1399 0.5000 0.6878 (multiplicity 4)  5 Pb 3.44-3.84, 3 Tl 3.47-3.55
Tl1 0.1943 0.5000 0.3629 (multiplicity 4)  4 Pb 3.17-3.42, 3 Sr 3.47-3.55
Pb1 0.0534 0.0000 0.3746 (multiplicity 4)  3 Tl 3.17-3.42, 1 Pb 3.22, 2 Sr 3.48
Pb2 0.1950 0.5000 0.0457 (multiplicity 4)  1 Tl 3.20, 2 Pb 3.21, 3 Sr 3.44-3.50

Output
Electronic total energy   -3.09 eV/atom
Total moment   0.00 μB/atom
Volume   34.7 Å³/atom

(3)
The following is a GGA-PBE calculation of a relaxed structure of Be2AlCu2, from Alexandria via LeMat-Bulk.

a b c (Å): 3.1165 3.1165 11.9125
angles (deg): 90.00 90.00 90.00
Last column: nearest neighbours and their distance in Å.
Space group I4/mmm (No. 139)
Unique sites:
Be1 0.0000 0.5000 0.2500 (multiplicity 4)  4 Be 2.20, 4 Cu 2.30
Al1 0.0000 0.0000 0.0000 (multiplicity 2)  8 Cu 2.55
Cu1 0.0000 0.0000 0.3917 (multiplicity 4)  4 Be 2.30, 4 Al 2.55

Output
Offset from the most stable computed form   0.103 eV/atom
Electronic total energy   -3.82 eV/atom
Total moment   0.00 μB/atom
Volume   11.6 Å³/atom

(4)
The following is a GGA-PBE calculation of a relaxed structure of LiZrTlPt, from Alexandria via LeMat-Bulk.

a b c (Å): 6.5967 6.5967 6.5967
angles (deg): 90.00 90.00 90.00
Last column: nearest neighbours and their distance in Å.
Space group F-43m (No. 216)
Unique sites:
Li1 0.0000 0.0000 0.0000 (multiplicity 4)  4 Tl 2.86, 4 Zr 2.86
Zr1 0.2500 0.2500 0.7500 (multiplicity 4)  4 Li 2.86, 4 Pt 2.86
Tl1 0.2500 0.2500 0.2500 (multiplicity 4)  4 Li 2.86, 4 Pt 2.86
Pt1 0.0000 0.0000 0.5000 (multiplicity 4)  4 Zr 2.86, 4 Tl 2.86

Output
Electronic total energy   -5.28 eV/atom
Total moment   0.00 μB/atom
Volume   17.9 Å³/atom

(5)
The following is a GGA-PBE calculation of a relaxed structure of CoTc3S, from Alexandria via LeMat-Bulk.

a b c (Å): 4.2844 4.2844 4.2844
angles (deg): 90.00 90.00 90.00
Last column: nearest neighbours and their distance in Å.
Space group Pm-3m (No. 221)
Unique sites:
Co1 0.0000 0.0000 0.0000 (multiplicity 1)  12 Tc 3.03
Tc1 0.0000 0.5000 0.5000 (multiplicity 3)  2 S 2.14
S1 0.5000 0.5000 0.5000 (multiplicity 1)  6 Tc 2.14

Output
Offset from the most stable computed form   0.000 eV/atom
E_form (uncorrected)   797 meV per atom
Electronic total energy   -7.67 eV/atom
Total moment   0.00 μB/atom
Volume   15.7 Å³/atom

(6)
The following is a GGA-PBE calculation of a relaxed structure of TcSbTe2Mo, from Alexandria via LeMat-Bulk.

a b c (Å): 5.2939 5.2939 5.0152
angles (deg): 90.00 90.00 90.00
Last column: nearest neighbours and their distance in Å.
Space group P4/mmm (No. 123)
Unique sites:
Tc1 0.0000 0.0000 0.0000 (multiplicity 1)  2 Sb 2.51, 4 Te 2.65
Sb1 0.0000 0.0000 0.5000 (multiplicity 1)  2 Tc 2.51
Te1 0.0000 0.5000 0.0000 (multiplicity 2)  2 Tc 2.65
Mo1 0.5000 0.5000 0.5000 (multiplicity 1)  8 Te 3.65, 4 Sb 3.74

Output
Offset from the most stable computed form   0.000 eV/atom
E_form (uncorrected)   1139 meV per atom
Electronic total energy   -5.18 eV/atom
Total moment   0.57 μB/atom
Volume   28.1 Å³/atom

> electronic total energy of number 3 (Be2AlCu2)?

-3.82 eV/atom

> Among the records above, which one has the lowest electronic total energy?

CoTc3S

> Which formula does entry 5 have?

CoTc3S